# PBE Hg2PBr, optimized geometry
data_Hg2PBr
_space_group_name_H-M_alt 'I -4 m 2'
_space_group_IT_number 119
_space_group_name_Hall 'I -4 -2'
_cell_length_a 3.9406
_cell_length_b 3.9406
_cell_length_c 14.8012
_cell_angle_alpha 90.00
_cell_angle_beta 90.00
_cell_angle_gamma 90.00
loop_
_atom_site_label
_atom_site_type_symbol
_atom_site_fract_x
_atom_site_fract_y
_atom_site_fract_z
Hg1 Hg 0.0000 0.0000 0.0000
Hg2 Hg 0.0000 0.5000 0.2500
P1 P 0.0000 0.5000 0.7500
Br1 Br 0.0000 0.0000 0.5000
# M_tot = 0.15 μB/atom
# raw total energy = -12.29 eV/cell
# E_form (uncorrected) = 0.39 eV/atom
# ΔE to the lowest computed polymorph = 580 meV per atom



# PBE ScTeCl2, optimized geometry
data_ScTeCl2
_space_group_name_H-M_alt 'F m -3 m'
_space_group_IT_number 225
_space_group_name_Hall '-F 4 2 3'
_cell_length_a 7.1058
_cell_length_b 7.1058
_cell_length_c 7.1058
_cell_angle_alpha 90.00
_cell_angle_beta 90.00
_cell_angle_gamma 90.00
loop_
_atom_site_label
_atom_site_type_symbol
_atom_site_fract_x
_atom_site_fract_y
_atom_site_fract_z
Sc1 Sc 0.0000 0.0000 0.0000
Te1 Te 0.0000 0.0000 0.5000
Cl1 Cl 0.2500 0.2500 0.2500
# M_tot = 0.00 μB/atom
# raw total energy = -61.32 eV/cell
# E_form (uncorrected) = -0.54 eV/atom
# ΔE to the lowest computed polymorph = 969 meV per atom



# PBE AlAgGe, optimized geometry
data_AlAgGe
_space_group_name_H-M_alt 'P 1 21/m 1'
_space_group_IT_number 11
_cell_length_a 6.3983
_cell_length_b 2.8805
_cell_length_c 6.6205
_cell_angle_alpha 90.00
_cell_angle_beta 113.24
_cell_angle_gamma 90.00
loop_
_space_group_symop_operation_xyz
'x,y,z'
'-x,-y,-z'
'-x,y+1/2,-z'
'x,-y+1/2,z'
loop_
_atom_site_label
_atom_site_type_symbol
_atom_site_fract_x
_atom_site_fract_y
_atom_site_fract_z
Al1 Al 0.2278 0.2500 0.0685
Ag1 Ag 0.1212 0.7500 0.3606
Ge1 Ge 0.3664 0.2500 0.7430
# M_tot = 0.00 μB/atom
# raw total energy = -21.64 eV/cell
# energy of formation from the pure elements = 0.13 eV/atom



# PBE Nb12Ga3B5, optimized geometry
data_Nb12Ga3B5
_space_group_name_H-M_alt 'I a -3 d'
_space_group_IT_number 230
_space_group_name_Hall '-I 4bd 2c 3'
_cell_length_a 13.9454
_cell_length_b 13.9454
_cell_length_c 13.9454
_cell_angle_alpha 90.00
_cell_angle_beta 90.00
_cell_angle_gamma 90.00
loop_
_atom_site_label
_atom_site_type_symbol
_atom_site_fract_x
_atom_site_fract_y
_atom_site_fract_z
Nb1 Nb 0.0333 0.0621 0.6452
Ga1 Ga 0.0000 0.2500 0.1250
B1 B 0.0000 0.0000 0.0000
B2 B 0.0000 0.2500 0.3750
# M_tot = 0.00 μB/atom
# raw total energy = -1276.17 eV/cell
# energy of formation from the pure elements = 0.19 eV/atom